Entry 1:
Compound: HfPdC3
Source: the Alexandria database
Functional: meta-GGA SCAN
Structure: single point on PBEsol structure

Cell and atoms, written as POSCAR:
```
HfPdC3
1.0
3.915 0.000 0.000
0.000 3.915 0.000
0.000 0.000 3.915
Hf Pd C
1 1 3
direct
0.000 0.000 0.000
0.500 0.500 0.500
0.000 0.500 0.500
0.500 0.000 0.500
0.500 0.500 0.000
```

As for the formation energy from the elements: 2.07 eV/atom.


Entry 2:
Compound: Be2CrCl
Source: the Alexandria database
Functional: meta-GGA SCAN
Structure: single point on PBEsol structure

Cell and atoms, written as POSCAR:
```
Be2CrCl
1.0
2.965 0.000 0.000
0.000 2.965 0.000
0.000 0.000 5.518
Be Cr Cl
2 1 1
direct
0.000 0.000 0.190
0.000 0.000 0.810
0.500 0.500 0.000
0.500 0.500 0.500
```

The calculation puts the uncorrected formation energy at 332 meV per atom. Its energy relative to the lowest polymorph listed for this composition is 0 meV/atom.


Entry 3:
Compound: TaPtRh2
Source: the Alexandria database
Functional: meta-GGA SCAN
Structure: single point on PBEsol structure

Cell and atoms, written as POSCAR:
```
TaPtRh2
1.0
-1.930 1.930 3.922
1.930 -1.930 3.922
1.930 1.930 -3.922
Ta Pt Rh
1 1 2
direct
0.000 0.000 0.000
0.750 0.250 0.500
0.250 0.750 0.500
0.500 0.500 0.000
```

As for the formation energy from the elements: -0.67 eV/atom.


Entry 4:
Compound: CaSb2TeI
Source: the Alexandria database
Functional: meta-GGA SCAN
Structure: single point on PBEsol structure

Cell and atoms, written as POSCAR:
```
CaSb2TeI
1.0
5.669 0.000 0.000
0.000 5.669 0.000
0.000 0.000 5.853
Ca Sb Te I
1 2 1 1
direct
0.000 0.000 0.000
0.000 0.500 0.500
0.500 0.000 0.500
0.500 0.500 0.500
0.500 0.500 0.000
```

The calculation puts the uncorrected formation energy at 167 meV per atom.


Entry 5:
Compound: SrCaNi8Sn4
Source: the Alexandria database
Functional: meta-GGA SCAN
Structure: single point on PBEsol structure

Cell and atoms, written as POSCAR:
```
SrCaNi8Sn4
1.0
-3.842 3.842 3.862
3.842 -3.842 3.862
3.842 3.842 -3.862
Sr Ca Ni Sn
1 1 8 4
direct
0.000 0.000 0.000
0.500 0.500 0.000
0.054 0.550 0.776
0.227 0.450 0.504
0.278 0.054 0.504
0.450 0.946 0.224
0.550 0.773 0.496
0.722 0.227 0.776
0.773 0.278 0.224
0.946 0.722 0.496
0.091 0.591 0.182
0.409 0.909 0.818
0.591 0.409 0.500
0.909 0.091 0.500
```

As for the formation energy from the elements: -0.30 eV/atom.


Entry 6:
Compound: ReSi2Pt
Source: the Alexandria database
Functional: meta-GGA SCAN
Structure: single point on PBEsol structure

Cell and atoms, written as POSCAR:
```
ReSi2Pt
1.0
1.480 -2.451 0.000
1.480 2.451 0.000
0.000 0.000 7.867
Re Si Pt
1 2 1
direct
0.000 0.000 0.000
0.500 0.500 0.244
0.500 0.500 0.756
0.000 0.000 0.500
```

The calculation puts the uncorrected formation energy at 36 meV per atom. Its energy relative to the lowest polymorph listed for this composition is 0 meV/atom.


Entry 7:
Compound: BaNi2Ru
Source: the Alexandria database
Functional: meta-GGA SCAN
Structure: single point on PBEsol structure

Cell and atoms, written as POSCAR:
```
BaNi2Ru
1.0
2.067 1.193 5.510
-2.067 1.193 5.510
0.000 -2.386 5.510
Ba Ni Ru
1 2 1
direct
0.000 0.000 0.000
0.182 0.182 0.182
0.502 0.502 0.502
0.818 0.818 0.818
```

As for the formation energy from the elements: 0.15 eV/atom.


Entry 8:
Compound: GaNi2
Source: the Alexandria database
Functional: meta-GGA SCAN
Structure: single point on PBEsol structure

Cell and atoms, written as POSCAR:
```
GaNi2
1.0
3.813 -1.822 0.000
3.813 1.822 0.000
-1.137 0.000 4.863
Ga Ni
2 4
direct
0.155 0.155 0.306
0.845 0.845 0.694
0.172 0.172 0.821
0.500 0.500 0.000
0.500 0.500 0.500
0.828 0.828 0.179
```

As for the formation energy from the elements: -0.32 eV/atom.


Entry 9:
Compound: Si4PtRh
Source: the Alexandria database
Functional: meta-GGA SCAN
Structure: single point on PBEsol structure

Cell and atoms, written as POSCAR:
```
Si4PtRh
1.0
0.000 3.456 3.456
3.456 0.000 3.456
3.456 3.456 0.000
Si Pt Rh
4 1 1
direct
0.125 0.125 0.125
0.125 0.125 0.624
0.125 0.624 0.125
0.624 0.125 0.125
0.750 0.750 0.750
0.500 0.500 0.500
```

The calculation puts the uncorrected formation energy at 397 meV per atom.


Entry 10:
Compound: Rb2InGaBr6
Source: the Alexandria database
Functional: meta-GGA SCAN
Structure: single point on PBEsol structure

Cell and atoms, written as POSCAR:
```
Rb2InGaBr6
1.0
0.000 5.524 5.524
5.524 0.000 5.524
5.524 5.524 0.000
Rb In Ga Br
2 1 1 6
direct
0.250 0.250 0.250
0.750 0.750 0.750
0.000 0.000 0.000
0.500 0.500 0.500
0.244 0.244 0.756
0.244 0.756 0.244
0.244 0.756 0.756
0.756 0.244 0.244
0.756 0.244 0.756
0.756 0.756 0.244
```

The calculation puts the uncorrected formation energy at -1262 meV per atom.


Entry 11:
Compound: Li3Au5
Source: the Alexandria database
Functional: meta-GGA SCAN
Structure: single point on PBEsol structure

Cell and atoms, written as POSCAR:
```
Li3Au5
1.0
-4.871 4.871 2.542
4.871 -4.871 2.542
4.871 4.871 -2.542
Li Au
6 10
direct
0.170 0.670 0.841
0.250 0.250 0.000
0.330 0.170 0.500
0.670 0.830 0.500
0.750 0.750 0.000
0.830 0.330 0.159
0.072 0.222 0.293
0.222 0.928 0.150
0.250 0.750 0.500
0.278 0.428 0.707
0.428 0.722 0.150
0.572 0.278 0.850
0.722 0.572 0.293
0.750 0.250 0.500
0.778 0.072 0.850
0.928 0.778 0.707
```

As for the formation energy from the elements: -0.43 eV/atom. Its energy relative to the lowest polymorph listed for this composition is 0 meV/atom.


Entry 12:
Compound: La8Al
Source: the Alexandria database
Functional: meta-GGA SCAN
Structure: single point on PBEsol structure

Cell and atoms, written as POSCAR:
```
La8Al
1.0
-5.499 5.499 2.537
5.499 -5.499 2.537
5.499 5.499 -2.537
La Al
8 1
direct
0.000 0.320 0.320
0.000 0.680 0.680
0.320 0.000 0.320
0.341 0.341 0.682
0.341 0.659 0.000
0.659 0.341 0.000
0.659 0.659 0.318
0.680 0.000 0.680
0.000 0.000 0.000
```

As for the formation energy from the elements: -0.06 eV/atom.


Entry 13:
Compound: Mg2SiMo
Source: the Alexandria database
Functional: meta-GGA SCAN
Structure: single point on PBEsol structure

Cell and atoms, written as POSCAR:
```
Mg2SiMo
1.0
3.593 0.000 0.000
0.000 3.593 0.000
0.000 0.000 5.249
Mg Si Mo
2 1 1
direct
0.000 0.000 0.244
0.000 0.000 0.756
0.500 0.500 0.500
0.500 0.500 0.000
```

The calculation puts the uncorrected formation energy at 389 meV per atom.


Entry 14:
Compound: ReMoRu
Source: the Alexandria database
Functional: meta-GGA SCAN
Structure: single point on PBEsol structure

Cell and atoms, written as POSCAR:
```
ReMoRu
1.0
0.000 2.945 2.945
2.945 0.000 2.945
2.945 2.945 0.000
Re Mo Ru
1 1 1
direct
0.000 0.000 0.000
0.250 0.250 0.250
0.750 0.750 0.750
```

As for the formation energy from the elements: 0.62 eV/atom. Its energy relative to the lowest polymorph listed for this composition is 0 meV/atom.


Entry 15:
Compound: KC3Br
Source: the Alexandria database
Functional: meta-GGA SCAN
Structure: single point on PBEsol structure

Cell and atoms, written as POSCAR:
```
KC3Br
1.0
4.272 0.000 0.000
0.000 4.272 0.000
0.000 0.000 4.272
K C Br
1 3 1
direct
0.000 0.000 0.000
0.000 0.500 0.500
0.500 0.000 0.500
0.500 0.500 0.000
0.500 0.500 0.500
```

The calculation puts the uncorrected formation energy at 3381 meV per atom.


Entry 16:
Compound: HfZrZn2Hg
Source: the Alexandria database
Functional: meta-GGA SCAN
Structure: single point on PBEsol structure

Cell and atoms, written as POSCAR:
```
HfZrZn2Hg
1.0
5.048 0.000 0.000
0.000 5.048 0.000
0.000 0.000 5.051
Hf Zr Zn Hg
1 1 2 1
direct
0.000 0.000 0.000
0.000 0.000 0.500
0.000 0.500 0.500
0.500 0.000 0.500
0.500 0.500 0.000
```

As for the formation energy from the elements: 1.12 eV/atom.


Entry 17:
Compound: TlFeAs2
Source: the Alexandria database
Functional: meta-GGA SCAN
Structure: single point on PBEsol structure

Cell and atoms, written as POSCAR:
```
TlFeAs2
1.0
1.543 0.891 9.258
-1.543 0.891 9.258
0.000 -1.782 9.258
Tl Fe As
1 1 2
direct
0.000 0.000 0.000
0.500 0.500 0.500
0.225 0.225 0.225
0.775 0.775 0.775
```

As for the formation energy from the elements: 0.03 eV/atom. Its energy relative to the lowest polymorph listed for this composition is 0 meV/atom.


Entry 18:
Compound: BTe3Au
Source: the Alexandria database
Functional: meta-GGA SCAN
Structure: single point on PBEsol structure

Cell and atoms, written as POSCAR:
```
BTe3Au
1.0
4.787 0.000 0.000
0.000 4.787 0.000
0.000 0.000 4.787
B Te Au
1 3 1
direct
0.000 0.000 0.000
0.000 0.000 0.500
0.000 0.500 0.000
0.500 0.000 0.000
0.500 0.500 0.500
```

The calculation puts the uncorrected formation energy at 897 meV per atom. Its energy relative to the lowest polymorph listed for this composition is 0 meV/atom.


Entry 19:
Compound: LaWClO4
Source: the Alexandria database
Functional: meta-GGA SCAN
Structure: single point on PBEsol structure

Cell and atoms, written as POSCAR:
```
LaWClO4
1.0
19.058 0.000 0.000
0.000 5.806 0.000
0.000 0.000 3.960
La W Cl O
4 4 4 16
direct
0.101 0.250 0.247
0.399 0.750 0.747
0.601 0.250 0.253
0.899 0.750 0.753
0.180 0.750 0.687
0.320 0.250 0.187
0.680 0.750 0.813
0.820 0.250 0.313
0.015 0.750 0.252
0.485 0.250 0.752
0.515 0.750 0.248
0.985 0.250 0.748
0.133 0.020 0.750
0.133 0.480 0.750
0.176 0.750 0.233
0.227 0.250 0.254
0.273 0.750 0.754
0.324 0.250 0.733
0.367 0.520 0.250
0.367 0.980 0.250
0.633 0.020 0.750
0.633 0.480 0.750
0.676 0.750 0.267
0.727 0.250 0.246
0.773 0.750 0.746
0.824 0.250 0.767
0.867 0.520 0.250
0.867 0.980 0.250
```

The calculation puts the uncorrected formation energy at -2845 meV per atom.


Entry 20:
Compound: Mg2Sc
Source: the Alexandria database
Functional: meta-GGA SCAN
Structure: single point on PBEsol structure

Cell and atoms, written as POSCAR:
```
Mg2Sc
1.0
-2.259 2.259 13.327
2.259 -2.259 13.327
2.259 2.259 -13.327
Mg Sc
8 4
direct
0.124 0.374 0.750
0.291 0.541 0.750
0.374 0.124 0.250
0.459 0.709 0.750
0.541 0.291 0.250
0.626 0.876 0.750
0.709 0.459 0.250
0.876 0.626 0.250
0.042 0.792 0.250
0.208 0.958 0.250
0.792 0.042 0.750
0.958 0.208 0.750
```

As for the formation energy from the elements: -0.03 eV/atom.


no.,calculated volume (Å³ per cell)
1,60
2,49
3,58
4,188
5,228
6,57
7,82
8,68
9,83
10,337
11,241
12,307
13,68
14,51
15,78
16,129
17,76
18,110
19,438
20,272